1.
## CdIn5Se8 (GGA-PBE)

Data for a relaxed CdIn5Se8 crystal.

Cell lengths 8.2326, 8.2326, 8.2326 Å; angles 60.00, 60.00, 60.00 degrees
Positions (direct):
Cd (0.0000, 0.0000, 0.0000)
In (0.3733, 0.3733, 0.3733)
In (0.3733, 0.3733, 0.8800)
In (0.3733, 0.8800, 0.3733)
In (0.7500, 0.7500, 0.7500)
In (0.8800, 0.3733, 0.3733)
Se (0.1340, 0.1340, 0.1340)
Se (0.1340, 0.1340, 0.5981)
Se (0.1340, 0.5981, 0.1340)
Se (0.1540, 0.6153, 0.6153)
Se (0.5981, 0.1340, 0.1340)
Se (0.6153, 0.1540, 0.6153)
Se (0.6153, 0.6153, 0.1540)
Se (0.6153, 0.6153, 0.6153)

* calculated total energy: -3.5435 eV/atom
* SG: F-43m
* energy relative to the elements, uncorrected: -0.509 eV/atom

***

2.
## Er2Mg3Pt4 (GGA-PBE)

Data for a relaxed Er2Mg3Pt4 crystal.

Cell lengths 7.2798, 7.2593, 7.0898 Å; angles 90.00, 110.19, 90.00 degrees
Positions (direct):
Er (0.1900, 0.1743, 0.0546)
Er (0.1900, 0.3257, 0.5546)
Er (0.8100, 0.6743, 0.4454)
Er (0.8100, 0.8257, 0.9454)
Mg (0.2542, 0.6705, 0.2457)
Mg (0.2542, 0.8295, 0.7457)
Mg (0.5000, 0.0000, 0.5000)
Mg (0.5000, 0.5000, 0.0000)
Mg (0.7458, 0.1705, 0.2543)
Mg (0.7458, 0.3295, 0.7543)
Pt (0.0742, 0.5369, 0.8423)
Pt (0.0742, 0.9631, 0.3423)
Pt (0.4852, 0.1370, 0.8626)
Pt (0.4852, 0.3630, 0.3626)
Pt (0.5148, 0.6370, 0.6374)
Pt (0.5148, 0.8630, 0.1374)
Pt (0.9258, 0.0369, 0.6577)
Pt (0.9258, 0.4631, 0.1577)

* calculated total energy: -5.2352 eV/atom
* energy of formation from the pure elements: -96.96 kJ per mole of atoms
* SG: P2_1/c

***

| no. | D(E_F) (states/eV per atom) |
| --- | --- |
| 1 | 0.210 |
| 2 | 0.355 |